Density functional theory data (PBE) for a relaxed RbScMn3 crystal.

```
data_RbScMn3
_cell_length_a 5.063
_cell_length_b 5.063
_cell_length_c 5.063
_cell_angle_alpha 90.00
_cell_angle_beta 90.00
_cell_angle_gamma 90.00
_symmetry_space_group_name_H-M 'P 1'
_symmetry_Int_Tables_number 1
_symmetry_space_group_name_Hall 'P 1'
loop_
_atom_site_label
_atom_site_type_symbol
_atom_site_fract_x
_atom_site_fract_y
_atom_site_fract_z
_atom_site_occupancy
Rb1 Rb 0.000 0.000 0.000 1
Sc1 Sc 0.500 0.500 0.500 1
Mn1 Mn 0.000 0.000 0.500 1
Mn2 Mn 0.000 0.500 0.000 1
Mn3 Mn 0.500 0.000 0.000 1
```

Calculated values
As for the relative energy among the computed polymorphs: 3.99 eV per formula unit. The calculation puts the calculated volume at 26.0 Å³/atom. As for the crystal system: cubic. The symmetry is Pm-3m, No. 221. As for the magnetic moment: 11.920 μB per cell. The calculation puts the energy relative to the elements at 2042 meV per atom.